Entry 1:
The following is a DFT calculation (PBE) of Pr2NdBr2N2 after structural relaxation.

As for the calculated total energy: -85.1 eV/cell. As for the magnetic moment: 0.9 μB per formula unit. Its crystal system is tetragonal. As for the density of states at the Fermi level: 3.8 states/eV/cell.

The space group is I4/mmm (No. 139) and the conventional cell measures 4.6687, 4.6687 and 16.2191 Å, with angles of 90.00, 90.00 and 90.00 degrees. The inequivalent atoms are Pr at (0.0000, 0.0000, 0.0929), Nd at (0.0000, 0.0000, 0.5000), Br at (0.0000, 0.0000, 0.3146) and N at (0.0000, 0.5000, 0.0000).


Entry 2:
The following is a DFT calculation (PBE) of LaHg3Pb after structural relaxation.

As for the calculated total energy: -28.3 eV/cell. As for the formation energy: 0.02 eV/atom. As for the magnetic moment: 0.0 μB per formula unit. Its crystal system is trigonal. The calculation puts the energy relative to the lowest polymorph listed for this composition at 309.0 meV per atom. As for the density of states at the Fermi level: 14.1 states/eV/cell.

The space group is R3m (No. 160, hexagonal axes) and the conventional cell measures 10.2794, 10.2794 and 6.4527 Å, with angles of 90.00, 90.00 and 120.00 degrees. The inequivalent atoms are La at (0.0000, 0.0000, 0.0000), Hg at (0.0228, 0.5114, 0.3512) and Pb at (0.0000, 0.0000, 0.4946).


Entry 3:
The following is a DFT calculation (PBE) of Cr2InRh after structural relaxation.

As for the calculated total energy: -28.4 eV/cell. As for the formation energy: 0.22 eV/atom. As for the magnetic moment: 0.0 μB per formula unit. Its crystal system is orthorhombic. As for the density of states at the Fermi level: 3.6 states/eV/cell.

The space group is Pmmm (No. 47) and the conventional cell measures 2.7677, 4.1800 and 5.3150 Å, with angles of 90.00, 90.00 and 90.00 degrees. The inequivalent atoms are Cr at (0.0000, 0.0000, 0.1842), In at (0.5000, 0.5000, 0.5000) and Rh at (0.5000, 0.5000, 0.0000).


Entry 4:
The following is a DFT calculation (PBE) of DySc6Tl after structural relaxation.

As for the calculated total energy: -45.4 eV/cell. As for the formation energy: -0.05 eV/atom. As for the magnetic moment: 0.6 μB per formula unit. Its crystal system is tetragonal. The calculation puts the energy relative to the lowest polymorph listed for this composition at 0.0 meV per atom. As for the density of states at the Fermi level: 12.8 states/eV/cell.

The space group is P4/mmm (No. 123) and the conventional cell measures 4.5858, 4.5858 and 9.4197 Å, with angles of 90.00, 90.00 and 90.00 degrees. The inequivalent atoms are Dy at (0.0000, 0.0000, 0.0000), Sc at (0.0000, 0.5000, 0.2569), Sc at (0.5000, 0.5000, 0.0000), Sc at (0.5000, 0.5000, 0.5000) and Tl at (0.0000, 0.0000, 0.5000).


Entry 5:
The following is a DFT calculation (PBE) of KLaF3 after structural relaxation.

As for the calculated total energy: -27.1 eV/cell. As for the magnetic moment: 0.2 μB per formula unit. Its crystal system is cubic. The calculation puts the energy relative to the lowest polymorph listed for this composition at 0.0 meV per atom. As for the density of states at the Fermi level: 6.9 states/eV/cell.

The space group is Pm-3m (No. 221) and the conventional cell measures 4.8623, 4.8623 and 4.8623 Å, with angles of 90.00, 90.00 and 90.00 degrees. The inequivalent atoms are K at (0.0000, 0.0000, 0.0000), La at (0.5000, 0.5000, 0.5000) and F at (0.0000, 0.5000, 0.5000).


Entry 6:
The following is a DFT calculation (PBE) of SrCa2Co after structural relaxation.

As for the calculated total energy: -41.8 eV/cell. As for the formation energy: 0.58 eV/atom. As for the magnetic moment: 0.0 μB per formula unit. Its crystal system is tetragonal. The calculation puts the energy relative to the lowest polymorph listed for this composition at 329.3 meV per atom. As for the density of states at the Fermi level: 9.9 states/eV/cell.

The space group is I4_1/amd (No. 141, origin choice 2) and the conventional cell measures 7.8151, 7.8151 and 11.1338 Å, with angles of 90.00, 90.00 and 90.00 degrees. The inequivalent atoms are Sr at (0.0000, 0.2500, 0.3750), Ca at (0.0000, 0.0000, 0.0000) and Co at (0.0000, 0.2500, 0.8750).


Entry 7:
The following is a DFT calculation (PBE) of Pm2ZnPd6 after structural relaxation.

As for the calculated total energy: -91.8 eV/cell. As for the formation energy: -0.44 eV/atom. As for the magnetic moment: 0.0 μB per formula unit. Its crystal system is monoclinic. The calculation puts the energy relative to the lowest polymorph listed for this composition at 279.3 meV per atom. As for the density of states at the Fermi level: 7.9 states/eV/cell.

The space group is C2/m (No. 12) and the conventional cell measures 13.3020, 7.7826 and 3.7127 Å, with angles of 90.00, 106.10 and 90.00 degrees. The inequivalent atoms are Pm at (0.1502, 0.0000, 0.1448), Zn at (0.0000, 0.5000, 0.5000), Pd at (0.0000, 0.2779, 0.0000) and Pd at (0.1647, 0.2915, 0.6625).


Entry 8:
The following is a DFT calculation (PBE) of NbV2Fe after structural relaxation.

As for the calculated total energy: -140.8 eV/cell. As for the formation energy: 0.39 eV/atom. As for the magnetic moment: 0.0 μB per formula unit. Its crystal system is tetragonal. The calculation puts the energy relative to the lowest polymorph listed for this composition at 432.5 meV per atom. As for the density of states at the Fermi level: 20.7 states/eV/cell.

The space group is I-42d (No. 122) and the conventional cell measures 6.7580, 6.7580 and 5.1361 Å, with angles of 90.00, 90.00 and 90.00 degrees. The inequivalent atoms are Nb at (0.0000, 0.0000, 0.0000), V at (0.2115, 0.2500, 0.6250) and Fe at (0.0000, 0.0000, 0.5000).